w.
# RbCdHg PBE-GGA relaxed
# * N(E_F): 7.539 states/eV per cell
data_RbCdHg
_chemical_formula_sum 'Rb4 Cd4 Hg4'
_cell_length_a 10.742
_cell_length_b 9.126
_cell_length_c 5.337
_cell_angle_alpha 90.00
_cell_angle_beta 119.49
_cell_angle_gamma 90.00
_space_group_name_H-M_alt 'C 1 2/m 1'
_space_group_IT_number 12
_space_group_name_Hall '-C 2y'
loop_
_atom_site_label
_atom_site_fract_x
_atom_site_fract_y
_atom_site_fract_z
_atom_site_occupancy
Rb1 0.245 0.000 0.246 1
Cd1 0.000 0.334 0.000 1
Hg1 0.000 0.172 0.500 1

=====

x.
# RbCdHg PBE-GGA relaxed
# * N(E_F): 9.153 states/eV per cell
data_RbCdHg
_chemical_formula_sum 'Rb4 Cd4 Hg4'
_cell_length_a 7.986
_cell_length_b 7.986
_cell_length_c 7.986
_cell_angle_alpha 90.00
_cell_angle_beta 90.00
_cell_angle_gamma 90.00
_space_group_name_H-M_alt 'F -4 3 m'
_space_group_IT_number 216
_space_group_name_Hall 'F -4 2 3'
loop_
_atom_site_label
_atom_site_fract_x
_atom_site_fract_y
_atom_site_fract_z
_atom_site_occupancy
Rb1 0.000 0.000 0.000 1
Cd1 0.000 0.000 0.500 1
Hg1 0.250 0.250 0.250 1

=====

Name the least stable of them. x.